## La5Pm8Nd (PBE)

Data for a relaxed La5Pm8Nd crystal.

## Properties
Electronic total energy   -64.46 eV for the cell shown
Spin magnetization   0.000 μB per atom
Calculated volume   35.79 Å³/atom
ΔH_f (0 K)   0.211 eV/atom

The structure in POSCAR format:
```
La5Pm8Nd
1.0
8.280 0.000 -2.587
-4.254 6.921 -3.042
0.228 0.000 8.672
Nd La Pm
1 5 8
direct
0.250 0.500 0.750
0.860 0.893 0.181
0.819 0.678 0.712
0.288 0.107 0.967
0.500 0.000 0.500
0.033 0.322 0.140
0.531 0.601 0.280
0.923 0.104 0.665
0.679 0.399 0.930
0.561 0.896 0.819
0.070 0.749 0.469
0.720 0.251 0.321
0.181 0.742 0.077
0.335 0.258 0.439
```


## La2PmNd7 (PBE)

Data for a relaxed La2PmNd7 crystal.

## Properties
Electronic total energy   -46.58 eV for the cell shown
Spin magnetization   0.000 μB per atom
Calculated volume   35.89 Å³/atom
ΔH_f (0 K)   0.140 eV/atom

The structure in POSCAR format:
```
La2PmNd7
1.0
3.526 0.000 0.000
0.000 13.504 7.089
0.000 9.040 12.283
Nd La Pm
7 2 1
direct
0.500 0.854 0.344
0.500 0.656 0.146
0.500 0.500 0.500
0.000 0.189 0.189
0.000 0.811 0.811
0.500 0.146 0.656
0.500 0.344 0.854
0.500 0.296 0.296
0.500 0.704 0.704
0.000 0.000 0.000
```


## La2PmNd (PBE)

Data for a relaxed La2PmNd crystal.

## Properties
Electronic total energy   -19.33 eV for the cell shown
Energy relative to the lowest polymorph listed for this composition   0.0 kJ/mol of atoms
Spin magnetization   0.000 μB per atom
Calculated volume   35.69 Å³/atom
ΔH_f (0 K)   0.011 eV/atom

The structure in POSCAR format:
```
La2PmNd
1.0
5.194 0.000 0.000
0.000 5.243 0.000
0.000 0.000 5.243
La Pm Nd
2 1 1
direct
0.000 0.500 0.000
0.000 0.000 0.500
0.500 0.500 0.500
0.500 0.000 0.000
```